First-principles (PBE) data for an optimized crystal structure of ZrSiO2F, as listed in Alexandria.

POSCAR file:
```
ZrSiO2F
1.0
4.162 0.000 0.000
0.000 4.162 0.000
0.000 0.000 4.265
Zr Si O F
1 1 2 1
direct
0.000 0.000 0.000
0.500 0.500 0.500
0.000 0.500 0.000
0.500 0.000 0.000
0.000 0.000 0.500
```

Calculated values
- final energy (eV/atom) = -6.9935
- density (g/cm3) = 3.8
- uncorrected formation energy (eV per formula unit) = -9.21
- SG = No. 123

=====

First-principles (PBE) data for an optimized crystal structure of Sc4TaC4, as listed in Alexandria.

POSCAR file:
```
Sc4TaC4
1.0
-3.652 3.652 2.340
3.652 -3.652 2.340
3.652 3.652 -2.340
Sc Ta C
4 1 4
direct
0.107 0.309 0.416
0.309 0.893 0.202
0.691 0.107 0.798
0.893 0.691 0.584
0.500 0.500 0.000
0.218 0.594 0.812
0.406 0.218 0.624
0.594 0.782 0.376
0.782 0.406 0.188
```

Calculated values
- final energy (eV/atom) = -8.6738
- ΔE_f (kJ/mol of atoms) = -42.8
- density (g/cm3) = 5.4
- SG = No. 87

=====

First-principles (PBE) data for an optimized crystal structure of CeCdInAu, as listed in Alexandria.

POSCAR file:
```
CeCdInAu
1.0
0.000 3.611 3.611
3.611 0.000 3.611
3.611 3.611 0.000
Ce Cd In Au
1 1 1 1
direct
0.000 0.000 0.000
0.750 0.750 0.750
0.500 0.500 0.500
0.250 0.250 0.250
```

Calculated values
- final energy (eV/atom) = -3.6568
- ΔE_f (kJ/mol of atoms) = -42.5
- density (g/cm3) = 10.0
- SG = No. 216